{"formula": "YTm2Mg3AgHg2", "functional": "PBE-GGA", "state": "relaxed", "final_energy_ev_per_atom": -2.98, "spacegroup": "Amm2 (38)", "magnetic_moment_mub_per_atom": 0.001, "lattice": [[4.134, 0.000, 0.000], [0.000, 6.717, 3.860], [0.000, -6.717, 3.860]], "species": ["Y", "Tm", "Tm", "Mg", "Mg", "Mg", "Ag", "Hg", "Hg"], "frac_coords": [[0.000, 0.000, 0.000], [0.000, 0.180, 0.590], [0.000, 0.590, 0.180], [0.500, 0.344, 0.344], [0.500, 0.589, 0.836], [0.500, 0.836, 0.589], [0.000, 0.587, 0.587], [0.500, 0.259, 0.922], [0.500, 0.922, 0.259]]}

{"formula": "Nd3Zn8Ag3", "functional": "PBE-GGA", "state": "relaxed", "spacegroup": "Immm (71)", "ef_ev_per_atom": -0.317, "magnetic_moment_mub_per_atom": 0.002, "lattice": [[-2.257, 4.468, 6.785], [2.257, -4.468, 6.785], [2.257, 4.468, -6.785]], "species": ["Nd", "Nd", "Nd", "Zn", "Zn", "Zn", "Zn", "Zn", "Zn", "Zn", "Zn", "Ag", "Ag", "Ag"], "frac_coords": [[0.000, 0.000, 0.000], [0.300, 0.300, 0.000], [0.700, 0.700, 0.000], [0.028, 0.668, 0.360], [0.142, 0.862, 0.279], [0.308, 0.668, 0.640], [0.417, 0.138, 0.279], [0.583, 0.862, 0.721], [0.692, 0.332, 0.360], [0.858, 0.138, 0.721], [0.972, 0.332, 0.640], [0.293, 0.500, 0.793], [0.500, 0.000, 0.500], [0.707, 0.500, 0.207]]}

{"formula": "Nb4Ge5Pt5", "functional": "PBE-GGA", "state": "relaxed", "final_energy_ev_per_atom": -7.17, "spacegroup": "I-4 (82)", "magnetic_moment_mub_per_atom": 0.000, "lattice": [[-4.772, 4.772, 3.033], [4.772, -4.772, 3.033], [4.772, 4.772, -3.033]], "species": ["Nb", "Nb", "Nb", "Nb", "Ge", "Ge", "Ge", "Ge", "Ge", "Pt", "Pt", "Pt", "Pt", "Pt"], "frac_coords": [[0.100, 0.701, 0.800], [0.299, 0.099, 0.399], [0.700, 0.900, 0.601], [0.901, 0.300, 0.200], [0.000, 0.000, 0.000], [0.220, 0.412, 0.623], [0.404, 0.780, 0.193], [0.588, 0.211, 0.807], [0.789, 0.596, 0.377], [0.026, 0.341, 0.894], [0.250, 0.750, 0.500], [0.447, 0.132, 0.106], [0.659, 0.553, 0.685], [0.868, 0.974, 0.315]]}

{"formula": "NbZnNiBi", "functional": "PBE-GGA", "state": "relaxed", "final_energy_ev_per_atom": -4.86, "spacegroup": "F-43m (216)", "magnetic_moment_mub_per_atom": 0.219, "lattice": [[0.000, 3.291, 3.291], [3.291, 0.000, 3.291], [3.291, 3.291, 0.000]], "species": ["Nb", "Zn", "Ni", "Bi"], "frac_coords": [[0.000, 0.000, 0.000], [0.750, 0.750, 0.750], [0.500, 0.500, 0.500], [0.250, 0.250, 0.250]]}

{"formula": "LiLa2Au2", "functional": "PBE-GGA", "state": "relaxed", "final_energy_ev_per_atom": -4.33, "spacegroup": "P4/mbm (127)", "magnetic_moment_mub_per_atom": 0.015, "lattice": [[8.169, 0.000, 0.000], [0.000, 8.169, 0.000], [0.000, 0.000, 4.049]], "species": ["Li", "Li", "La", "La", "La", "La", "Au", "Au", "Au", "Au"], "frac_coords": [[0.000, 0.000, 0.000], [0.500, 0.500, 0.000], [0.164, 0.336, 0.500], [0.336, 0.836, 0.500], [0.664, 0.164, 0.500], [0.836, 0.664, 0.500], [0.135, 0.635, 0.000], [0.365, 0.135, 0.000], [0.635, 0.865, 0.000], [0.865, 0.365, 0.000]]}

{"formula": "HfPbAu", "functional": "PBE-GGA", "state": "relaxed", "final_energy_ev_per_atom": -5.73, "spacegroup": "I4mm (107)", "magnetic_moment_mub_per_atom": 0.001, "lattice": [[-1.764, 1.764, 5.316], [1.764, -1.764, 5.316], [1.764, 1.764, -5.316]], "species": ["Hf", "Pb", "Au"], "frac_coords": [[0.000, 0.000, 0.000], [0.306, 0.306, 0.000], [0.629, 0.629, 0.000]]}